(1)
BaMnTc4: relaxed, PBE.

Cell: 5.408 5.408 5.408 Å, 60.00 60.00 60.00°
Last column: magnetic moment on the atom in μB.
Element x y z (fractional)
Ba 0.750 0.750 0.750  0.00
Mn 0.000 0.000 0.000  3.91
Tc 0.878 0.374 0.374  -0.06
Tc 0.374 0.374 0.878  -0.06
Tc 0.374 0.878 0.374  -0.06
Tc 0.374 0.374 0.374  -0.06

Output
- Crystal system: cubic
- Size of the total moment: 3.80 μB per formula unit
- DFT formation energy: 832 meV per atom

---

(2)
BaMnTc2: relaxed, PBE.

Cell: 5.025 5.025 8.649 Å, 73.11 73.11 90.00°
Element x y z (fractional)
Mn 0.500 0.500 0.000
Mn 0.250 0.750 0.500
Ba 0.000 0.000 0.000
Ba 0.750 0.250 0.500
Tc 0.375 0.125 0.250
Tc 0.375 0.625 0.250
Tc 0.375 0.625 0.750
Tc 0.875 0.625 0.750

Output
- Crystal system: tetragonal
- Size of the total moment: 0.00 μB per formula unit
- DFT formation energy: 1054 meV per atom

---

(3)
BaMn3Tc: relaxed, PBE.

Cell: 5.011 5.011 5.011 Å, 90.00 90.00 90.00°
Last column: magnetic moment on the atom in μB.
Element x y z (fractional)
Mn 0.000 0.500 0.000  3.60
Mn 0.000 0.000 0.500  3.14
Mn 0.500 0.000 0.000  3.85
Ba 0.000 0.000 0.000  -0.25
Tc 0.500 0.500 0.500  3.08

Output
- Crystal system: cubic
- Size of the total moment: 14.13 μB per formula unit
- DFT formation energy: 2575 meV per atom

---

(4)
Ba4MnTc: relaxed, PBE.

Cell: 7.102 7.102 7.102 Å, 60.00 60.00 60.00°
Last column: magnetic moment on the atom in μB.
Element x y z (fractional)
Ba 0.877 0.374 0.374  -0.07
Ba 0.374 0.374 0.877  -0.07
Ba 0.374 0.877 0.374  -0.07
Ba 0.374 0.374 0.374  -0.07
Mn 0.750 0.750 0.750  -4.37
Tc 0.000 0.000 0.000  3.02

Output
- Crystal system: cubic
- Size of the total moment: 2.17 μB per formula unit
- DFT formation energy: 1376 meV per atom

---

(5)
BaMnTc2: relaxed, PBE.

Cell: 3.189 3.144 8.502 Å, 68.24 90.00 90.00°
Last column: magnetic moment on the atom in μB.
Element x y z (fractional)
Ba 0.500 0.250 0.250  -0.01
Mn 0.500 0.750 0.750  1.65
Tc 0.000 0.093 0.905  -0.21
Tc 0.000 0.407 0.595  -0.21

Output
- Crystal system: monoclinic
- Size of the total moment: 1.18 μB per formula unit
- DFT formation energy: 682 meV per atom

---

(6)
BaTiMn2Tc: relaxed, PBE.

Cell: 4.539 5.599 4.539 Å, 90.00 90.00 90.00°
Last column: magnetic moment on the atom in μB.
Element x y z (fractional)
Mn 0.000 0.000 0.500  2.78
Mn 0.500 0.000 0.000  3.25
Ti 0.000 0.000 0.000  -1.22
Ba 0.000 0.500 0.000  -0.15
Tc 0.500 0.500 0.500  2.03

Output
- Crystal system: tetragonal
- Size of the total moment: 6.99 μB per formula unit
- DFT formation energy: 1659 meV per atom

---

(7)
BaMn2VTc: relaxed, PBE.

Cell: 4.589 4.894 4.589 Å, 90.00 90.00 90.00°
Element x y z (fractional)
V 0.500 0.500 0.500
Mn 0.000 0.000 0.500
Mn 0.500 0.000 0.000
Ba 0.000 0.000 0.000
Tc 0.000 0.500 0.000

Output
- Crystal system: tetragonal
- Size of the total moment: 0.00 μB per formula unit
- DFT formation energy: 3071 meV per atom

---

(8)
BaMnTe: relaxed, PBE.

Cell: 5.059 5.059 5.059 Å, 60.00 60.00 60.00°
Last column: magnetic moment on the atom in μB.
Element x y z (fractional)
Ba 0.500 0.500 0.500  0.02
Mn 0.250 0.250 0.250  3.53
Te 0.000 0.000 0.000  0.00

Output
- Crystal system: cubic
- Size of the total moment: 3.80 μB per formula unit
- Formation energy (no corrections): -78 meV per atom

---

(9)
BaMnTe: relaxed, PBE.

Cell: 4.672 4.672 4.951 Å, 90.00 90.00 120.00°
Last column: magnetic moment on the atom in μB.
Element x y z (fractional)
Te 0.333 0.667 0.500  -0.03
Ba 0.000 0.000 0.000  -0.08
Mn 0.667 0.333 0.500  3.47

Output
- Crystal system: hexagonal
- Size of the total moment: 3.37 μB per formula unit
- Formation energy (no corrections): -431 meV per atom

---

(10)
Ba3MnTe: relaxed, PBE.

Cell: 5.665 5.665 5.665 Å, 90.00 90.00 90.00°
Element x y z (fractional)
Te 0.500 0.500 0.500
Ba 0.000 0.500 0.000
Ba 0.000 0.000 0.500
Ba 0.500 0.000 0.000
Mn 0.000 0.000 0.000

Output
- Crystal system: cubic
- Size of the total moment: 0.00 μB per formula unit
- Formation energy (no corrections): -27 meV per atom

---

(11)
BaMnTe: relaxed, PBE.

Cell: 5.651 5.651 5.651 Å, 60.00 60.00 60.00°
Last column: magnetic moment on the atom in μB.
Element x y z (fractional)
Ba 0.250 0.250 0.250  0.00
Mn 0.000 0.000 0.000  4.42
Te 0.500 0.500 0.500  0.10

Output
- Crystal system: cubic
- Size of the total moment: 5.00 μB per formula unit
- Formation energy (no corrections): 92 meV per atom

---

(12)
BaMnTe: relaxed, PBE.

Cell: 8.236 10.051 10.051 Å, 53.68 65.81 65.81°
Last column: magnetic moment on the atom in μB.
Element x y z (fractional)
Ba 0.296 0.930 0.430  -0.03
Ba 0.656 0.070 0.570  -0.03
Ba 0.656 0.570 0.070  -0.03
Ba 0.296 0.430 0.930  -0.03
Ba 0.809 0.250 0.750  -0.01
Ba 0.809 0.750 0.250  -0.01
Mn 0.415 0.500 0.500  3.71
Mn 0.415 0.000 0.000  3.71
Mn 0.208 0.916 0.916  3.57
Mn 0.039 0.084 0.084  3.57
Mn 0.039 0.584 0.584  3.57
Mn 0.208 0.416 0.416  3.57
Te 0.222 0.750 0.250  0.00
Te 0.222 0.250 0.750  0.00
Te 0.662 0.672 0.672  0.00
Te 0.005 0.328 0.328  0.00
Te 0.005 0.828 0.828  0.00
Te 0.662 0.172 0.172  0.00

Output
- Crystal system: orthorhombic
- Size of the total moment: 3.87 μB per formula unit
- Formation energy (no corrections): -438 meV per atom